(1)
Computed, not measured: an optimized crystal structure of DyYCl2O2 at the PBE level of DFT.

Calculated values
Calculated total energy   -7.17 eV/atom

abc: 3.8923 3.8923 6.7033
angles: 90.00 90.00 90.00
Closest atoms and distances in Å follow each position.
Space group P4mm (No. 99)
Asymmetric unit:
Dy 0.0000 0.0000 0.0000 [1 per cell]  4 O 2.25
Y 0.5000 0.5000 0.3371 [1 per cell]  4 O 2.25
Cl 0.0000 0.0000 0.5393 [1 per cell]  4 Y 3.07, 1 Dy 3.09, 4 O 3.16, 4 Cl 3.25
Cl 0.5000 0.5000 0.7977 [1 per cell]  4 Dy 3.07, 1 Y 3.09, 4 O 3.15, 4 Cl 3.25
O 0.0000 0.5000 0.1677 [2 per cell]  2 Dy 2.25, 2 Y 2.25

(2)
Computed, not measured: an optimized crystal structure of Ho2TmCd3CuAu2 at the PBE level of DFT.

Calculated values
Calculated total energy   -3.53 eV/atom
Energy of formation   -55.4 kJ per mole of atoms

abc: 3.8430 13.2639 7.6744
angles: 90.00 90.00 90.00
Closest atoms and distances in Å follow each position.
Space group Amm2 (No. 38)
Asymmetric unit:
Ho 0.0000 0.2045 0.0000 [4 per cell]  4 Au 3.02, 1 Cu 3.14, 6 Cd 3.28-3.34
Tm 0.0000 0.0000 0.3869 [2 per cell]  4 Au 3.00, 1 Cu 3.13, 6 Cd 3.28-3.34
Cd 0.5000 0.0000 0.0402 [2 per cell]  2 Cu 2.69, 2 Au 2.95
Cd 0.5000 0.1225 0.6731 [4 per cell]  2 Cu 2.68, 2 Au 2.95-2.97
Cu 0.0000 0.0000 0.7944 [2 per cell]  6 Cd 2.68-2.69
Au 0.5000 0.1656 0.2961 [4 per cell]  3 Cd 2.95-2.97, 2 Tm 3.00, 4 Ho 3.02

(3)
Computed, not measured: an optimized crystal structure of LiHoMgHg at the PBE level of DFT.

Calculated values
Calculated total energy   -2.40 eV/atom

abc: 7.0006 7.0006 7.0006
angles: 90.00 90.00 90.00
Closest atoms and distances in Å follow each position.
Space group F-43m (No. 216)
Asymmetric unit:
Li 0.0000 0.0000 0.0000 [4 per cell]  4 Ho 3.03, 4 Mg 3.03
Ho 0.2500 0.2500 0.7500 [4 per cell]  4 Hg 3.03, 4 Li 3.03
Mg 0.2500 0.2500 0.2500 [4 per cell]  4 Hg 3.03, 4 Li 3.03
Hg 0.0000 0.0000 0.5000 [4 per cell]  4 Ho 3.03, 4 Mg 3.03

(4)
Computed, not measured: an optimized crystal structure of NbGeAu2 at the PBE level of DFT.

Calculated values
Calculated total energy   -5.23 eV/atom

abc: 6.5666 6.5666 6.5666
angles: 90.00 90.00 90.00
Closest atoms and distances in Å follow each position.
Space group F-43m (No. 216)
Asymmetric unit:
Nb 0.0000 0.0000 0.0000 [4 per cell]  4 Au 2.84, 4 Ge 2.84
Ge 0.2500 0.2500 0.7500 [4 per cell]  4 Nb 2.84, 4 Au 2.84
Au 0.0000 0.0000 0.5000 [4 per cell]  4 Ge 2.84, 4 Au 2.84
Au 0.2500 0.2500 0.2500 [4 per cell]  4 Nb 2.84, 4 Au 2.84

(5)
Computed, not measured: an optimized crystal structure of SmYPO at the PBE level of DFT.

Calculated values
Calculated total energy   -7.31 eV/atom
Distance to the lowest polymorph of the same formula   80.4 meV per atom

abc: 4.3621 4.3621 8.7154
angles: 90.00 90.00 90.00
Closest atoms and distances in Å follow each position.
Space group P4/nmm (No. 129, origin choice 2)
Asymmetric unit:
Sm 0.2500 0.2500 0.1082 [2 per cell]  4 O 2.38
Y 0.2500 0.7500 0.5000 [2 per cell]  4 P 2.75
P 0.2500 0.2500 0.6920 [2 per cell]  4 Y 2.75
O 0.2500 0.7500 0.0000 [2 per cell]  4 Sm 2.38

Number 1: total magnetic moment 0.000 μB/atom. Number 2: total magnetic moment 0.002 μB/atom. Number 3: total magnetic moment 0.000 μB/atom. Number 4: total magnetic moment 0.012 μB/atom. Number 5: total magnetic moment 0.001 μB/atom.